[1]
{"formula": "CaPaPd6", "functional": "GGA-PBE", "state": "optimized geometry", "cell": [[2.7726, 1.6008, 6.7950], [-2.7726, 1.6008, 6.7950], [0.0000, -3.2016, 6.7950]], "species": ["Ca", "Pa", "Pd", "Pd", "Pd", "Pd", "Pd", "Pd"], "frac_coords": [[0.0000, 0.0000, 0.0000], [0.5000, 0.5000, 0.5000], [0.0591, 0.5721, 0.5721], [0.4279, 0.4279, 0.9409], [0.4279, 0.9409, 0.4279], [0.5721, 0.0591, 0.5721], [0.5721, 0.5721, 0.0591], [0.9409, 0.4279, 0.4279]], "delta_e_f_ev_per_atom": -0.32, "e_tot_ev_per_atom": -5.647, "volume_a3_per_cell": 181.0, "dos_ef_per_ev_atom": 0.59, "polymorph_energy_mev_per_atom": 452, "density_g_cm3": 8.35}

[2]
{"formula": "Pa2AuS", "functional": "GGA-PBE", "state": "optimized geometry", "cell": [[3.8358, 0.0000, 0.0000], [-1.9179, 3.3219, 0.0000], [0.0000, 0.0000, 22.0472]], "species": ["Pa", "Pa", "Pa", "Pa", "Pa", "Pa", "Au", "Au", "Au", "S", "S", "S"], "frac_coords": [[0.0000, 0.0000, 0.2395], [0.0000, 0.0000, 0.7605], [0.3333, 0.6667, 0.4271], [0.3333, 0.6667, 0.9062], [0.6667, 0.3333, 0.0938], [0.6667, 0.3333, 0.5729], [0.0000, 0.0000, 0.0000], [0.3333, 0.6667, 0.6667], [0.6667, 0.3333, 0.3333], [0.0000, 0.0000, 0.5000], [0.3333, 0.6667, 0.1667], [0.6667, 0.3333, 0.8333]], "e_tot_ev_per_atom": -7.384, "volume_a3_per_cell": 280.9, "dos_ef_per_ev_atom": 1.77, "polymorph_energy_mev_per_atom": 16, "density_g_cm3": 12.25}

[3]
{"formula": "Na2AlH5", "functional": "GGA-PBE", "state": "optimized geometry", "cell": [[1.8106, -5.5088, 0.0000], [1.8106, 5.5088, 0.0000], [0.0000, 0.0000, 9.9958]], "species": ["Na", "Na", "Na", "Na", "Al", "Al", "H", "H", "H", "H", "H", "H", "H", "H", "H", "H"], "frac_coords": [[0.1367, 0.8633, 0.5709], [0.1367, 0.8633, 0.9291], [0.8633, 0.1367, 0.0709], [0.8633, 0.1367, 0.4291], [0.1580, 0.8420, 0.2500], [0.8420, 0.1580, 0.7500], [0.0512, 0.9488, 0.1273], [0.0512, 0.9488, 0.3727], [0.2716, 0.7284, 0.1250], [0.2716, 0.7284, 0.3750], [0.3290, 0.6710, 0.7500], [0.6710, 0.3290, 0.2500], [0.7284, 0.2716, 0.6250], [0.7284, 0.2716, 0.8750], [0.9488, 0.0512, 0.6273], [0.9488, 0.0512, 0.8727]], "e_tot_ev_per_atom": -3.043, "volume_a3_per_cell": 199.4, "dos_ef_per_ev_atom": 0.00, "density_g_cm3": 1.30}

[4]
{"formula": "Mg2TiB2Ru5", "functional": "GGA-PBE", "state": "optimized geometry", "cell": [[9.4663, 0.0000, 0.0000], [0.0000, 9.4663, 0.0000], [0.0000, 0.0000, 2.9609]], "species": ["Mg", "Mg", "Mg", "Mg", "Ti", "Ti", "B", "B", "B", "B", "Ru", "Ru", "Ru", "Ru", "Ru", "Ru", "Ru", "Ru", "Ru", "Ru"], "frac_coords": [[0.1765, 0.3235, 0.0000], [0.3235, 0.8235, 0.0000], [0.6765, 0.1765, 0.0000], [0.8235, 0.6765, 0.0000], [0.0000, 0.0000, 0.0000], [0.5000, 0.5000, 0.0000], [0.1232, 0.6232, 0.0000], [0.3768, 0.1232, 0.0000], [0.6232, 0.8768, 0.0000], [0.8768, 0.3768, 0.0000], [0.0000, 0.5000, 0.5000], [0.0699, 0.7845, 0.5000], [0.2155, 0.0699, 0.5000], [0.2845, 0.5699, 0.5000], [0.4301, 0.2845, 0.5000], [0.5000, 0.0000, 0.5000], [0.5699, 0.7155, 0.5000], [0.7155, 0.4301, 0.5000], [0.7845, 0.9301, 0.5000], [0.9301, 0.2155, 0.5000]], "delta_e_f_ev_per_atom": -0.26, "e_tot_ev_per_atom": -7.341, "volume_a3_per_cell": 265.3, "dos_ef_per_ev_atom": 1.08, "density_g_cm3": 7.80}

[5]
{"formula": "K2SrTa", "functional": "GGA-PBE", "state": "optimized geometry", "cell": [[3.4166, 0.0000, 0.0000], [0.0000, 5.8854, 0.0000], [0.0000, 0.0000, 19.4261]], "species": ["K", "K", "K", "K", "Sr", "Sr", "Ta", "Ta"], "frac_coords": [[0.0000, 0.0000, 0.1664], [0.0000, 0.0000, 0.8336], [0.5000, 0.5000, 0.3336], [0.5000, 0.5000, 0.6664], [0.0000, 0.5000, 0.0000], [0.5000, 0.0000, 0.5000], [0.0000, 0.5000, 0.5000], [0.5000, 0.0000, 0.0000]], "delta_e_f_ev_per_atom": 1.11, "e_tot_ev_per_atom": -2.821, "volume_a3_per_cell": 390.6, "dos_ef_per_ev_atom": 0.90, "polymorph_energy_mev_per_atom": 164, "density_g_cm3": 2.95}

[6]
{"formula": "Ca3Be2PdO6", "functional": "GGA-PBE", "state": "optimized geometry", "cell": [[5.4306, 0.0000, 0.0000], [-2.7153, 4.7031, 0.0000], [0.0000, 0.0000, 6.3017]], "species": ["Ca", "Ca", "Ca", "Be", "Be", "Pd", "O", "O", "O", "O", "O", "O"], "frac_coords": [[0.0000, 0.0000, 0.0000], [0.3333, 0.6667, 0.6895], [0.6667, 0.3333, 0.3105], [0.3333, 0.6667, 0.2472], [0.6667, 0.3333, 0.7528], [0.0000, 0.0000, 0.5000], [0.1732, 0.3463, 0.2609], [0.1732, 0.8268, 0.2609], [0.3463, 0.1732, 0.7391], [0.6537, 0.8268, 0.2609], [0.8268, 0.1732, 0.7391], [0.8268, 0.6537, 0.7391]], "e_tot_ev_per_atom": -6.130, "volume_a3_per_cell": 160.9, "dos_ef_per_ev_atom": 0.06, "density_g_cm3": 3.51}